Ti3SnC2 (PBE, relaxed); space-group type = P6_3/mmc, No. 194; V = 161.5 Å³ per cell; density of states at the Fermi level = 1.905 states/eV/f.u.; VASP energy = -101.648 eV/cell; E_form = -781.4 meV per atom
1.0
-2.191 0.208 2.257
1.720 -2.626 -0.290
12.793 7.084 11.764
Ti C Sn
6 4 2
Direct
0.000 0.000 0.000
0.667 0.333 0.877
0.333 0.667 0.123
0.333 0.667 0.377
0.667 0.333 0.623
0.000 0.000 0.500
0.667 0.333 0.068
0.333 0.667 0.932
0.667 0.333 0.432
0.333 0.667 0.568
0.000 0.000 0.250
0.000 0.000 0.750

***

Ti4Sn2C (PBE, relaxed); ΔE to the lowest computed polymorph = 1.86 kJ/mol of atoms; space-group type = Pbam, No. 55; V = 243.4 Å³ per cell; density of states at the Fermi level = 5.782 states/eV/f.u.; VASP energy = -104.594 eV/cell; E_form = -498.2 meV per atom
1.0
-0.582 -2.956 -1.069
7.091 -1.782 1.065
-2.205 -3.037 9.595
C Ti Sn
2 8 4
Direct
0.000 0.500 0.000
0.000 0.000 0.500
0.500 0.166 0.431
0.500 0.334 0.931
0.000 0.371 0.179
0.000 0.871 0.321
0.500 0.834 0.569
0.000 0.629 0.821
0.500 0.666 0.069
0.000 0.129 0.679
0.500 0.057 0.141
0.500 0.557 0.359
0.500 0.443 0.641
0.500 0.943 0.859